DFT (meta-GGA SCAN) results for a crystal of YAgHg relaxed with PBEsol.

## Properties
* total magnetic moment: 0.00 μB/f.u.
* E_form: -90 meV per atom
* density: 8.4 g/cm³
* symmetry: F-43m (216)
* DFT total energy: -127.6 eV/f.u.

Lattice parameters (Å, degrees): 4.809 4.809 4.809 60.00 60.00 60.00
Sites, in units of the cell vectors:
Ag1 0.000 0.000 0.000
Hg1 0.500 0.500 0.500
Y1 0.250 0.250 0.250